<a>
The following is a DFT calculation (GGA-PBEsol) of a relaxed structure of Ba2NaZn2.

- Symmetry: No. 127

```
Ba2NaZn2
1.0
8.8551 0.0000 0.0000
0.0000 8.8551 0.0000
0.0000 0.0000 4.3779
Ba Na Zn
4 2 4
Direct
0.1767 0.3233 0.0000
0.3233 0.8233 0.0000
0.6767 0.1767 0.0000
0.8233 0.6767 0.0000
0.0000 0.0000 0.5000
0.5000 0.5000 0.5000
0.1101 0.6101 0.5000
0.3899 0.1101 0.5000
0.6101 0.8899 0.5000
0.8899 0.3899 0.5000
```


<b>
The following is a DFT calculation (GGA-PBEsol) of a relaxed structure of Ba2NaZn2.

- Symmetry: No. 139

```
Ba2NaZn2
1.0
4.0407 0.0000 0.0000
0.0000 4.0407 0.0000
0.0000 0.0000 22.2289
Ba Na Zn
4 2 4
Direct
0.0000 0.0000 0.1317
0.0000 0.0000 0.8683
0.5000 0.5000 0.3683
0.5000 0.5000 0.6317
0.0000 0.0000 0.5000
0.5000 0.5000 0.0000
0.0000 0.5000 0.2500
0.0000 0.5000 0.7500
0.5000 0.0000 0.2500
0.5000 0.0000 0.7500
```


It is <b> that is the least stable of them.


<a>
The following is a DFT calculation (GGA-PBEsol) of a relaxed structure of Ba4Nb3Se12.

- Symmetry: No. 12

```
Ba4Nb3Se12
1.0
8.4893 -3.4241 0.0000
8.4893 3.4241 0.0000
-8.1947 0.0000 8.4982
Ba Nb Se
4 3 12
Direct
0.1672 0.1672 0.2985
0.1690 0.1690 0.7954
0.8310 0.8310 0.2046
0.8328 0.8328 0.7015
0.4992 0.4992 0.2789
0.5000 0.5000 0.0000
0.5008 0.5008 0.7211
0.1479 0.6769 0.5293
0.1521 0.6778 0.0439
0.3222 0.8479 0.9561
0.3231 0.8521 0.4707
0.3252 0.3252 0.2070
0.3296 0.3296 0.7013
0.6704 0.6704 0.2987
0.6748 0.6748 0.7930
0.6769 0.1479 0.5293
0.6778 0.1521 0.0439
0.8479 0.3222 0.9561
0.8521 0.3231 0.4707
```


<b>
The following is a DFT calculation (GGA-PBEsol) of a relaxed structure of Ba4Nb3Se12.

- Symmetry: No. 10

```
Ba4Nb3Se12
1.0
5.8725 0.0000 0.0000
0.0000 6.8391 0.0000
-0.1473 0.0000 12.2085
Ba Nb Se
4 3 12
Direct
0.2430 0.0000 0.3446
0.2457 0.5000 0.8145
0.7543 0.5000 0.1855
0.7570 0.0000 0.6554
0.0000 0.0000 0.0000
0.0000 0.5000 0.5000
0.5000 0.0000 0.0000
0.2460 0.0000 0.8230
0.2520 0.2691 0.0876
0.2520 0.7309 0.0876
0.2551 0.5000 0.3293
0.2630 0.2396 0.5838
0.2630 0.7604 0.5838
0.7370 0.2396 0.4162
0.7370 0.7604 0.4162
0.7449 0.5000 0.6707
0.7480 0.2691 0.9124
0.7480 0.7309 0.9124
0.7540 0.0000 0.1770
```


It is <b> that is the least stable of them.


<a>
The following is a DFT calculation (GGA-PBEsol) of a relaxed structure of BaNd2S4.

- Symmetry: No. 122

```
BaNd2S4
1.0
-4.3577 4.3577 4.3577
4.3577 -4.3577 4.3577
4.3577 4.3577 -4.3577
Ba Nd S
2 4 8
Direct
0.0000 0.0000 0.0000
0.7500 0.2500 0.5000
0.2500 0.6250 0.1250
0.3750 0.5000 0.6250
0.5000 0.1250 0.8750
0.8750 0.7500 0.3750
0.1426 0.7289 0.7460
0.1466 0.2329 0.7540
0.2711 0.0171 0.4137
0.4789 0.3926 0.2460
0.6034 0.8574 0.5863
0.6074 0.8534 0.0863
0.7671 0.5211 0.9137
0.9829 0.3966 0.2540
```


<b>
The following is a DFT calculation (GGA-PBEsol) of a relaxed structure of BaNd2S4.

- Symmetry: No. 62

```
BaNd2S4
1.0
11.7221 0.0000 0.0000
0.0000 4.1936 0.0000
0.0000 0.0000 14.7658
Ba Nd S
4 8 16
Direct
0.2371 0.2500 0.1578
0.2629 0.7500 0.6578
0.7371 0.2500 0.3422
0.7629 0.7500 0.8422
0.0622 0.7500 0.3903
0.1051 0.7500 0.9019
0.3949 0.2500 0.4019
0.4378 0.2500 0.8903
0.5622 0.7500 0.1097
0.6051 0.7500 0.5981
0.8949 0.2500 0.0981
0.9378 0.2500 0.6097
0.0020 0.7500 0.7195
0.0591 0.7500 0.0858
0.1491 0.2500 0.5088
0.2240 0.2500 0.8155
0.2760 0.7500 0.3155
0.3509 0.7500 0.0088
0.4409 0.2500 0.5858
0.4980 0.2500 0.2195
0.5020 0.7500 0.7805
0.5591 0.7500 0.4142
0.6491 0.2500 0.9912
0.7240 0.2500 0.6845
0.7760 0.7500 0.1845
0.8509 0.7500 0.4912
0.9409 0.2500 0.9142
0.9980 0.2500 0.2805
```


It is <a> that is the least stable of them.


<a>
The following is a DFT calculation (GGA-PBEsol) of a relaxed structure of BaReNi2.

- Symmetry: No. 47

```
BaReNi2
1.0
2.8964 0.0000 0.0000
0.0000 3.3513 0.0000
0.0000 0.0000 7.2579
Ba Re Ni
1 1 2
Direct
0.0000 0.0000 0.0000
0.0000 0.0000 0.5000
0.5000 0.5000 0.3343
0.5000 0.5000 0.6657
```


<b>
The following is a DFT calculation (GGA-PBEsol) of a relaxed structure of BaReNi2.

- Symmetry: No. 225

```
BaReNi2
1.0
6.5607 0.0000 0.0000
0.0000 6.5607 0.0000
0.0000 0.0000 6.5607
Ba Re Ni
4 4 8
Direct
0.0000 0.0000 0.0000
0.0000 0.5000 0.5000
0.5000 0.0000 0.5000
0.5000 0.5000 0.0000
0.0000 0.0000 0.5000
0.0000 0.5000 0.0000
0.5000 0.0000 0.0000
0.5000 0.5000 0.5000
0.2500 0.2500 0.2500
0.2500 0.2500 0.7500
0.2500 0.7500 0.2500
0.2500 0.7500 0.7500
0.7500 0.2500 0.2500
0.7500 0.2500 0.7500
0.7500 0.7500 0.2500
0.7500 0.7500 0.7500
```


<c>
The following is a DFT calculation (GGA-PBEsol) of a relaxed structure of BaReNi2.

- Symmetry: No. 71

```
BaReNi2
1.0
4.0971 0.0000 0.0000
0.0000 5.6322 0.0000
0.0000 0.0000 6.9504
Ba Re Ni
2 2 4
Direct
0.0000 0.0000 0.0000
0.5000 0.5000 0.5000
0.0000 0.0000 0.5000
0.5000 0.5000 0.0000
0.0000 0.5000 0.1762
0.0000 0.5000 0.8238
0.5000 0.0000 0.3238
0.5000 0.0000 0.6762
```


It is <b> that is the least stable of them.


<a>
The following is a DFT calculation (GGA-PBEsol) of a relaxed structure of BaNi3Sn.

- Symmetry: No. 221

```
BaNi3Sn
1.0
4.7761 0.0000 0.0000
0.0000 4.7761 0.0000
0.0000 0.0000 4.7761
Ba Ni Sn
1 3 1
Direct
0.0000 0.0000 0.0000
0.0000 0.5000 0.5000
0.5000 0.0000 0.5000
0.5000 0.5000 0.0000
0.5000 0.5000 0.5000
```


<b>
The following is a DFT calculation (GGA-PBEsol) of a relaxed structure of BaNi3Sn.

- Symmetry: No. 221

```
BaNi3Sn
1.0
4.8324 0.0000 0.0000
0.0000 4.8324 0.0000
0.0000 0.0000 4.8324
Ba Ni Sn
1 3 1
Direct
0.0000 0.0000 0.0000
0.0000 0.0000 0.5000
0.0000 0.5000 0.0000
0.5000 0.0000 0.0000
0.5000 0.5000 0.5000
```


It is <b> that is the least stable of them.


<a>
The following is a DFT calculation (GGA-PBEsol) of a relaxed structure of BaSrNi2.

- Symmetry: No. 38

```
BaSrNi2
1.0
4.2029 0.0000 0.0000
0.0000 4.4448 0.0000
0.0000 0.0000 11.2234
Ba Sr Ni
2 2 4
Direct
0.0000 0.0000 0.0000
0.0000 0.5000 0.5000
0.5000 0.0000 0.7186
0.5000 0.5000 0.2186
0.0000 0.0000 0.3100
0.0000 0.5000 0.8100
0.5000 0.0000 0.3915
0.5000 0.5000 0.8915
```


<b>
The following is a DFT calculation (GGA-PBEsol) of a relaxed structure of BaSrNi2.

- Symmetry: No. 119

```
BaSrNi2
1.0
4.2277 0.0000 0.0000
0.0000 4.2277 0.0000
0.0000 0.0000 10.5187
Ba Sr Ni
2 2 4
Direct
0.0000 0.0000 0.0000
0.5000 0.5000 0.5000
0.0000 0.5000 0.7500
0.5000 0.0000 0.2500
0.0000 0.0000 0.5000
0.0000 0.5000 0.2500
0.5000 0.0000 0.7500
0.5000 0.5000 0.0000
```


It is <b> that is the least stable of them.


<a>
The following is a DFT calculation (GGA-PBEsol) of a relaxed structure of BaTc2Ni.

- Symmetry: No. 44

```
BaTc2Ni
1.0
3.2125 0.0000 0.0000
0.0000 5.6012 0.0000
0.0000 0.0000 9.0297
Ba Tc Ni
2 4 2
Direct
0.0000 0.0000 0.0000
0.5000 0.5000 0.5000
0.0000 0.0000 0.5024
0.0000 0.5000 0.8178
0.5000 0.0000 0.3178
0.5000 0.5000 0.0024
0.0000 0.5000 0.2009
0.5000 0.0000 0.7009
```


<b>
The following is a DFT calculation (GGA-PBEsol) of a relaxed structure of BaTc2Ni.

- Symmetry: No. 10

```
BaTc2Ni
1.0
4.4414 0.0000 0.0000
0.0000 3.0735 0.0000
-0.0151 0.0000 5.1584
Ba Tc Ni
1 2 1
Direct
0.0000 0.0000 0.0000
0.0000 0.5000 0.5000
0.5000 0.0000 0.5000
0.5000 0.5000 0.0000
```


It is <b> that is the least stable of them.


<a>
The following is a DFT calculation (GGA-PBEsol) of a relaxed structure of BaNiW2.

- Symmetry: No. 225

```
BaNiW2
1.0
6.4840 0.0000 0.0000
0.0000 6.4840 0.0000
0.0000 0.0000 6.4840
Ba Ni W
4 4 8
Direct
0.0000 0.0000 0.0000
0.0000 0.5000 0.5000
0.5000 0.0000 0.5000
0.5000 0.5000 0.0000
0.0000 0.0000 0.5000
0.0000 0.5000 0.0000
0.5000 0.0000 0.0000
0.5000 0.5000 0.5000
0.2500 0.2500 0.2500
0.2500 0.2500 0.7500
0.2500 0.7500 0.2500
0.2500 0.7500 0.7500
0.7500 0.2500 0.2500
0.7500 0.2500 0.7500
0.7500 0.7500 0.2500
0.7500 0.7500 0.7500
```


<b>
The following is a DFT calculation (GGA-PBEsol) of a relaxed structure of BaNiW2.

- Symmetry: No. 123

```
BaNiW2
1.0
3.8077 0.0000 0.0000
0.0000 3.8077 0.0000
0.0000 0.0000 5.3482
Ba Ni W
1 1 2
Direct
0.0000 0.0000 0.0000
0.5000 0.5000 0.0000
0.0000 0.5000 0.5000
0.5000 0.0000 0.5000
```


It is <a> that is the least stable of them.